## NaPtPb2 (GGA-PBEsol)

Data for a relaxed structure of NaPtPb2. Values from VASP.

```
&SYSTEM
  ibrav = 0, nat = 16, ntyp = 3
/
ATOMIC_SPECIES
Na 22.99 Na.upf
Pt 195.08 Pt.upf
Pb 207.20 Pb.upf
CELL_PARAMETERS angstrom
7.008 0.000 0.000
0.000 7.008 0.000
0.000 0.000 7.008
ATOMIC_POSITIONS crystal
Na 0.000 0.000 0.000
Na 0.000 0.500 0.500
Na 0.500 0.000 0.500
Na 0.500 0.500 0.000
Pt 0.000 0.000 0.500
Pt 0.000 0.500 0.000
Pt 0.500 0.000 0.000
Pt 0.500 0.500 0.500
Pb 0.250 0.250 0.250
Pb 0.250 0.250 0.750
Pb 0.250 0.750 0.250
Pb 0.250 0.750 0.750
Pb 0.750 0.250 0.250
Pb 0.750 0.250 0.750
Pb 0.750 0.750 0.250
Pb 0.750 0.750 0.750
```

Computed properties:
Energy relative to the elements = -0.11 eV/atom

---

## K2YCu (GGA-PBEsol)

Data for a relaxed structure of K2YCu. Values from VASP.

```
&SYSTEM
  ibrav = 0, nat = 8, ntyp = 3
/
ATOMIC_SPECIES
K 39.10 K.upf
Y 88.91 Y.upf
Cu 63.55 Cu.upf
CELL_PARAMETERS angstrom
5.565 0.000 0.000
0.000 5.565 0.000
0.000 0.000 7.844
ATOMIC_POSITIONS crystal
K 0.000 0.000 0.000
K 0.000 0.500 0.250
K 0.500 0.000 0.750
K 0.500 0.500 0.500
Y 0.000 0.000 0.500
Y 0.500 0.500 0.000
Cu 0.000 0.500 0.750
Cu 0.500 0.000 0.250
```

Computed properties:
Energy relative to the elements = 0.75 eV/atom

---

## RbSrCS2 (GGA-PBEsol)

Data for a relaxed structure of RbSrCS2. Values from VASP.

```
&SYSTEM
  ibrav = 0, nat = 5, ntyp = 4
/
ATOMIC_SPECIES
Rb 85.47 Rb.upf
Sr 87.62 Sr.upf
C 12.01 C.upf
S 32.06 S.upf
CELL_PARAMETERS angstrom
5.420 0.000 0.000
0.000 5.420 0.000
0.000 0.000 8.391
ATOMIC_POSITIONS crystal
Rb 0.000 0.000 0.000
Sr 0.000 0.000 0.500
C 0.500 0.500 0.000
S 0.000 0.500 0.500
S 0.500 0.000 0.500
```

Computed properties:
Raw formation energy = 107 kJ/mol of atoms

---

## SrPt2 (GGA-PBEsol)

Data for a relaxed structure of SrPt2. Values from VASP.

```
&SYSTEM
  ibrav = 0, nat = 3, ntyp = 2
/
ATOMIC_SPECIES
Sr 87.62 Sr.upf
Pt 195.08 Pt.upf
CELL_PARAMETERS angstrom
3.751 0.000 0.000
0.000 3.751 0.000
0.000 0.000 4.886
ATOMIC_POSITIONS crystal
Sr 0.000 0.000 0.000
Pt 0.000 0.500 0.500
Pt 0.500 0.000 0.500
```

Computed properties:
Energy relative to the elements = -0.42 eV/atom

---

## Mg4As6Rh7 (GGA-PBEsol)

Data for a relaxed structure of Mg4As6Rh7. Values from VASP.

```
&SYSTEM
  ibrav = 0, nat = 17, ntyp = 3
/
ATOMIC_SPECIES
Mg 24.30 Mg.upf
As 74.92 As.upf
Rh 102.91 Rh.upf
CELL_PARAMETERS angstrom
-4.025 4.025 4.025
4.025 -4.025 4.025
4.025 4.025 -4.025
ATOMIC_POSITIONS crystal
Mg 0.000 0.000 0.500
Mg 0.000 0.500 0.000
Mg 0.500 0.000 0.000
Mg 0.500 0.500 0.500
As 0.000 0.314 0.314
As 0.000 0.686 0.686
As 0.314 0.000 0.314
As 0.314 0.314 0.000
As 0.686 0.000 0.686
As 0.686 0.686 0.000
Rh 0.000 0.000 0.000
Rh 0.250 0.500 0.750
Rh 0.250 0.750 0.500
Rh 0.500 0.250 0.750
Rh 0.500 0.750 0.250
Rh 0.750 0.250 0.500
Rh 0.750 0.500 0.250
```

Computed properties:
Energy relative to the elements = -0.67 eV/atom

---

## Mg2AuSe (GGA-PBEsol)

Data for a relaxed structure of Mg2AuSe. Values from VASP.

```
&SYSTEM
  ibrav = 0, nat = 16, ntyp = 3
/
ATOMIC_SPECIES
Mg 24.30 Mg.upf
Au 196.97 Au.upf
Se 78.96 Se.upf
CELL_PARAMETERS angstrom
5.259 0.000 0.000
0.000 5.259 0.000
0.000 0.000 14.693
ATOMIC_POSITIONS crystal
Mg 0.247 0.250 0.125
Mg 0.250 0.747 0.375
Mg 0.250 0.753 0.875
Mg 0.253 0.250 0.625
Mg 0.747 0.750 0.625
Mg 0.750 0.247 0.875
Mg 0.750 0.253 0.375
Mg 0.753 0.750 0.125
Au 0.000 0.000 0.000
Au 0.000 0.500 0.250
Au 0.500 0.000 0.750
Au 0.500 0.500 0.500
Se 0.000 0.000 0.500
Se 0.000 0.500 0.750
Se 0.500 0.000 0.250
Se 0.500 0.500 0.000
```

Computed properties:
Raw formation energy = -42 kJ/mol of atoms

---

## CaAl2Re (GGA-PBEsol)

Data for a relaxed structure of CaAl2Re. Values from VASP.

```
&SYSTEM
  ibrav = 0, nat = 4, ntyp = 3
/
ATOMIC_SPECIES
Ca 40.08 Ca.upf
Al 26.98 Al.upf
Re 186.21 Re.upf
CELL_PARAMETERS angstrom
3.239 0.000 0.000
0.000 3.239 0.000
0.000 0.000 6.930
ATOMIC_POSITIONS crystal
Ca 0.000 0.000 0.000
Al 0.500 0.500 0.313
Al 0.500 0.500 0.687
Re 0.000 0.000 0.500
```

Computed properties:
Energy relative to the elements = -0.08 eV/atom

---

## MgCd2Ag (GGA-PBEsol)

Data for a relaxed structure of MgCd2Ag. Values from VASP.

```
&SYSTEM
  ibrav = 0, nat = 4, ntyp = 3
/
ATOMIC_SPECIES
Mg 24.30 Mg.upf
Cd 112.41 Cd.upf
Ag 107.87 Ag.upf
CELL_PARAMETERS angstrom
3.088 0.000 0.000
0.000 4.565 0.000
-1.494 0.000 5.559
ATOMIC_POSITIONS crystal
Mg 0.000 0.000 0.000
Cd 0.338 0.500 0.681
Cd 0.733 0.000 0.471
Ag 0.588 0.500 0.185
```

Computed properties:
Energy relative to the elements = -0.10 eV/atom

---

## Li7V3NiP6O24 (GGA-PBEsol)

Data for a relaxed structure of Li7V3NiP6O24. Values from VASP.

```
&SYSTEM
  ibrav = 0, nat = 41, ntyp = 5
/
ATOMIC_SPECIES
Li 6.94 Li.upf
V 50.94 V.upf
Ni 58.69 Ni.upf
P 30.97 P.upf
O 16.00 O.upf
CELL_PARAMETERS angstrom
4.349 2.511 6.807
-4.349 2.511 6.807
0.000 -5.022 6.807
ATOMIC_POSITIONS crystal
Li 0.000 0.000 0.000
Li 0.147 0.340 0.794
Li 0.315 0.749 0.535
Li 0.340 0.794 0.147
Li 0.535 0.315 0.749
Li 0.749 0.535 0.315
Li 0.794 0.147 0.340
V 0.363 0.363 0.363
V 0.646 0.646 0.646
V 0.864 0.864 0.864
Ni 0.148 0.148 0.148
P 0.041 0.755 0.461
P 0.252 0.550 0.960
P 0.461 0.041 0.755
P 0.550 0.960 0.252
P 0.755 0.461 0.041
P 0.960 0.252 0.550
O 0.023 0.932 0.282
O 0.029 0.798 0.626
O 0.080 0.731 0.962
O 0.119 0.320 0.506
O 0.225 0.378 0.967
O 0.249 0.619 0.407
O 0.282 0.023 0.932
O 0.320 0.506 0.119
O 0.378 0.967 0.225
O 0.404 0.591 0.758
O 0.407 0.249 0.619
O 0.506 0.119 0.320
O 0.520 0.893 0.669
O 0.591 0.758 0.404
O 0.619 0.407 0.249
O 0.626 0.029 0.798
O 0.669 0.520 0.893
O 0.731 0.962 0.080
O 0.758 0.404 0.591
O 0.798 0.626 0.029
O 0.893 0.669 0.520
O 0.932 0.282 0.023
O 0.962 0.080 0.731
O 0.967 0.225 0.378
```

Computed properties:
Raw formation energy = -212 kJ/mol of atoms

---

## Mg2AgSnSb (GGA-PBEsol)

Data for a relaxed structure of Mg2AgSnSb. Values from VASP.

```
&SYSTEM
  ibrav = 0, nat = 5, ntyp = 4
/
ATOMIC_SPECIES
Mg 24.30 Mg.upf
Ag 107.87 Ag.upf
Sn 118.71 Sn.upf
Sb 121.76 Sb.upf
CELL_PARAMETERS angstrom
5.006 0.000 0.000
0.000 5.006 0.000
0.000 0.000 5.352
ATOMIC_POSITIONS crystal
Mg 0.000 0.500 0.000
Mg 0.500 0.000 0.000
Ag 0.000 0.000 0.000
Sn 0.500 0.500 0.500
Sb 0.000 0.000 0.500
```

Computed properties:
Raw formation energy = 24 kJ/mol of atoms

---

## AlSbP2 (GGA-PBEsol)

Data for a relaxed structure of AlSbP2. Values from VASP.

```
&SYSTEM
  ibrav = 0, nat = 4, ntyp = 3
/
ATOMIC_SPECIES
Al 26.98 Al.upf
Sb 121.76 Sb.upf
P 30.97 P.upf
CELL_PARAMETERS angstrom
3.783 0.000 0.000
0.000 3.783 0.000
0.000 0.000 5.292
ATOMIC_POSITIONS crystal
Al 0.000 0.000 0.000
Sb 0.500 0.500 0.500
P 0.000 0.000 0.500
P 0.500 0.500 0.000
```

Computed properties:
Raw formation energy = -6 kJ/mol of atoms

---

## Tl3Cd (GGA-PBEsol)

Data for a relaxed structure of Tl3Cd. Values from VASP.

```
&SYSTEM
  ibrav = 0, nat = 16, ntyp = 2
/
ATOMIC_SPECIES
Tl 204.38 Tl.upf
Cd 112.41 Cd.upf
CELL_PARAMETERS angstrom
7.518 0.000 0.000
0.000 7.518 0.000
0.000 0.000 7.518
ATOMIC_POSITIONS crystal
Tl 0.000 0.000 0.000
Tl 0.000 0.500 0.500
Tl 0.250 0.250 0.250
Tl 0.250 0.250 0.750
Tl 0.250 0.750 0.250
Tl 0.250 0.750 0.750
Tl 0.500 0.000 0.500
Tl 0.500 0.500 0.000
Tl 0.750 0.250 0.250
Tl 0.750 0.250 0.750
Tl 0.750 0.750 0.250
Tl 0.750 0.750 0.750
Cd 0.000 0.000 0.500
Cd 0.000 0.500 0.000
Cd 0.500 0.000 0.000
Cd 0.500 0.500 0.500
```

Computed properties:
Energy relative to the elements = 0.06 eV/atom

---

## ZrMo2O8 (GGA-PBEsol)

Data for a relaxed structure of ZrMo2O8. Values from VASP.

```
&SYSTEM
  ibrav = 0, nat = 22, ntyp = 3
/
ATOMIC_SPECIES
Zr 91.22 Zr.upf
Mo 95.94 Mo.upf
O 16.00 O.upf
CELL_PARAMETERS angstrom
5.900 0.000 0.000
0.000 7.296 0.000
0.000 0.000 9.159
ATOMIC_POSITIONS crystal
Zr 0.000 0.238 0.000
Zr 0.500 0.762 0.500
Mo 0.000 0.081 0.404
Mo 0.000 0.542 0.673
Mo 0.500 0.458 0.173
Mo 0.500 0.919 0.904
O 0.000 0.130 0.214
O 0.000 0.280 0.502
O 0.000 0.346 0.795
O 0.000 0.720 0.792
O 0.243 0.948 0.449
O 0.245 0.419 0.071
O 0.255 0.581 0.571
O 0.257 0.052 0.949
O 0.500 0.280 0.292
O 0.500 0.654 0.295
O 0.500 0.720 0.002
O 0.500 0.870 0.714
O 0.743 0.052 0.949
O 0.745 0.581 0.571
O 0.755 0.419 0.071
O 0.757 0.948 0.449
```

Computed properties:
Raw formation energy = -228 kJ/mol of atoms

---

## Mg2Au (GGA-PBEsol)

Data for a relaxed structure of Mg2Au. Values from VASP.

```
&SYSTEM
  ibrav = 0, nat = 9, ntyp = 2
/
ATOMIC_SPECIES
Mg 24.30 Mg.upf
Au 196.97 Au.upf
CELL_PARAMETERS angstrom
7.164 0.000 0.000
-3.582 6.204 0.000
0.000 0.000 3.941
ATOMIC_POSITIONS crystal
Mg 0.000 0.405 0.000
Mg 0.000 0.743 0.500
Mg 0.257 0.257 0.500
Mg 0.405 0.000 0.000
Mg 0.595 0.595 0.000
Mg 0.743 0.000 0.500
Au 0.000 0.000 0.000
Au 0.333 0.667 0.500
Au 0.667 0.333 0.500
```

Computed properties:
Energy relative to the elements = -0.49 eV/atom

---

## LiMgTc2Ge (GGA-PBEsol)

Data for a relaxed structure of LiMgTc2Ge. Values from VASP.

```
&SYSTEM
  ibrav = 0, nat = 5, ntyp = 4
/
ATOMIC_SPECIES
Li 6.94 Li.upf
Mg 24.30 Mg.upf
Tc 98.00 Tc.upf
Ge 72.64 Ge.upf
CELL_PARAMETERS angstrom
4.648 0.000 0.000
0.000 4.648 0.000
0.000 0.000 4.678
ATOMIC_POSITIONS crystal
Li 0.000 0.000 0.000
Mg 0.500 0.500 0.500
Tc 0.000 0.500 0.500
Tc 0.500 0.000 0.500
Ge 0.500 0.500 0.000
```

Computed properties:
Energy relative to the elements = 1.77 eV/atom

---

## Ca2IrI (GGA-PBEsol)

Data for a relaxed structure of Ca2IrI. Values from VASP.

```
&SYSTEM
  ibrav = 0, nat = 16, ntyp = 3
/
ATOMIC_SPECIES
Ca 40.08 Ca.upf
Ir 192.22 Ir.upf
I 126.90 I.upf
CELL_PARAMETERS angstrom
7.647 0.000 0.000
0.000 7.647 0.000
0.000 0.000 8.121
ATOMIC_POSITIONS crystal
Ca 0.197 0.750 0.125
Ca 0.250 0.197 0.875
Ca 0.250 0.303 0.375
Ca 0.303 0.750 0.625
Ca 0.697 0.250 0.625
Ca 0.750 0.697 0.375
Ca 0.750 0.803 0.875
Ca 0.803 0.250 0.125
Ir 0.000 0.000 0.000
Ir 0.000 0.500 0.250
Ir 0.500 0.000 0.750
Ir 0.500 0.500 0.500
I 0.000 0.000 0.500
I 0.000 0.500 0.750
I 0.500 0.000 0.250
I 0.500 0.500 0.000
```

Computed properties:
Raw formation energy = -27 kJ/mol of atoms

---

## AlCr4Re (GGA-PBEsol)

Data for a relaxed structure of AlCr4Re. Values from VASP.

```
&SYSTEM
  ibrav = 0, nat = 6, ntyp = 3
/
ATOMIC_SPECIES
Al 26.98 Al.upf
Cr 52.00 Cr.upf
Re 186.21 Re.upf
CELL_PARAMETERS angstrom
0.000 3.322 3.322
3.322 0.000 3.322
3.322 3.322 0.000
ATOMIC_POSITIONS crystal
Al 0.000 0.000 0.000
Cr 0.375 0.375 0.375
Cr 0.375 0.375 0.876
Cr 0.375 0.876 0.375
Cr 0.876 0.375 0.375
Re 0.750 0.750 0.750
```

Computed properties:
Energy relative to the elements = -0.04 eV/atom

---

## ZnInRe3 (GGA-PBEsol)

Data for a relaxed structure of ZnInRe3. Values from VASP.

```
&SYSTEM
  ibrav = 0, nat = 5, ntyp = 3
/
ATOMIC_SPECIES
Zn 65.41 Zn.upf
In 114.82 In.upf
Re 186.21 Re.upf
CELL_PARAMETERS angstrom
4.758 0.000 0.000
0.000 4.758 0.000
0.000 0.000 4.758
ATOMIC_POSITIONS crystal
Zn 0.000 0.000 0.000
In 0.500 0.500 0.500
Re 0.000 0.500 0.500
Re 0.500 0.000 0.500
Re 0.500 0.500 0.000
```

Computed properties:
Energy relative to the elements = 3.20 eV/atom

---

## CdPb2Br (GGA-PBEsol)

Data for a relaxed structure of CdPb2Br. Values from VASP.

```
&SYSTEM
  ibrav = 0, nat = 8, ntyp = 3
/
ATOMIC_SPECIES
Cd 112.41 Cd.upf
Pb 207.20 Pb.upf
Br 79.90 Br.upf
CELL_PARAMETERS angstrom
3.444 0.000 0.000
0.000 5.233 0.000
0.000 0.000 12.358
ATOMIC_POSITIONS crystal
Cd 0.000 0.000 0.000
Cd 0.500 0.500 0.500
Pb 0.000 0.000 0.456
Pb 0.000 0.500 0.724
Pb 0.500 0.000 0.224
Pb 0.500 0.500 0.956
Br 0.000 0.500 0.238
Br 0.500 0.000 0.738
```

Computed properties:
Raw formation energy = -12 kJ/mol of atoms

---

## InRe2Mo (GGA-PBEsol)

Data for a relaxed structure of InRe2Mo. Values from VASP.

```
&SYSTEM
  ibrav = 0, nat = 8, ntyp = 3
/
ATOMIC_SPECIES
In 114.82 In.upf
Re 186.21 Re.upf
Mo 95.94 Mo.upf
CELL_PARAMETERS angstrom
9.500 0.000 0.000
0.000 2.985 0.000
-1.358 0.000 4.515
ATOMIC_POSITIONS crystal
In 0.000 0.000 0.000
In 0.500 0.500 0.000
Re 0.234 0.000 0.722
Re 0.266 0.500 0.278
Re 0.734 0.500 0.722
Re 0.766 0.000 0.278
Mo 0.000 0.500 0.500
Mo 0.500 0.000 0.500
```

Computed properties:
Energy relative to the elements = 0.37 eV/atom

---

## TePtPbN2 (GGA-PBEsol)

Data for a relaxed structure of TePtPbN2. Values from VASP.

```
&SYSTEM
  ibrav = 0, nat = 5, ntyp = 4
/
ATOMIC_SPECIES
Te 127.60 Te.upf
Pt 195.08 Pt.upf
Pb 207.20 Pb.upf
N 14.01 N.upf
CELL_PARAMETERS angstrom
4.152 0.000 0.000
0.000 4.152 0.000
0.000 0.000 6.242
ATOMIC_POSITIONS crystal
Te 0.000 0.000 0.000
Pt 0.500 0.500 0.000
Pb 0.000 0.000 0.500
N 0.000 0.500 0.500
N 0.500 0.000 0.500
```

Computed properties:
Raw formation energy = 182 kJ/mol of atoms

---

## TlCdCl3 (GGA-PBEsol)

Data for a relaxed structure of TlCdCl3. Values from VASP.

```
&SYSTEM
  ibrav = 0, nat = 5, ntyp = 3
/
ATOMIC_SPECIES
Tl 204.38 Tl.upf
Cd 112.41 Cd.upf
Cl 35.45 Cl.upf
CELL_PARAMETERS angstrom
5.127 0.000 0.000
0.000 5.127 0.000
0.000 0.000 5.127
ATOMIC_POSITIONS crystal
Tl 0.000 0.000 0.000
Cd 0.500 0.500 0.500
Cl 0.000 0.500 0.500
Cl 0.500 0.000 0.500
Cl 0.500 0.500 0.000
```

Computed properties:
Raw formation energy = -94 kJ/mol of atoms

---

## ZrNiP2 (GGA-PBEsol)

Data for a relaxed structure of ZrNiP2. Values from VASP.

```
&SYSTEM
  ibrav = 0, nat = 8, ntyp = 3
/
ATOMIC_SPECIES
Zr 91.22 Zr.upf
Ni 58.69 Ni.upf
P 30.97 P.upf
CELL_PARAMETERS angstrom
3.571 0.000 0.000
0.000 3.571 0.000
0.000 0.000 8.845
ATOMIC_POSITIONS crystal
Zr 0.250 0.250 0.231
Zr 0.750 0.750 0.769
Ni 0.250 0.750 0.500
Ni 0.750 0.250 0.500
P 0.250 0.250 0.656
P 0.250 0.750 0.000
P 0.750 0.250 0.000
P 0.750 0.750 0.344
```

Computed properties:
Energy relative to the elements = -1.05 eV/atom

---

## CoPt2Se (GGA-PBEsol)

Data for a relaxed structure of CoPt2Se. Values from VASP.

```
&SYSTEM
  ibrav = 0, nat = 4, ntyp = 3
/
ATOMIC_SPECIES
Co 58.93 Co.upf
Pt 195.08 Pt.upf
Se 78.96 Se.upf
CELL_PARAMETERS angstrom
2.815 0.000 0.000
0.000 2.815 0.000
0.000 0.000 7.176
ATOMIC_POSITIONS crystal
Co 0.000 0.000 0.000
Pt 0.000 0.000 0.517
Pt 0.500 0.500 0.246
Se 0.500 0.500 0.813
```

Computed properties:
Raw formation energy = 12 kJ/mol of atoms

---

## Tl2Cd (GGA-PBEsol)

Data for a relaxed structure of Tl2Cd. Values from VASP.

```
&SYSTEM
  ibrav = 0, nat = 12, ntyp = 2
/
ATOMIC_SPECIES
Tl 204.38 Tl.upf
Cd 112.41 Cd.upf
CELL_PARAMETERS angstrom
12.065 0.000 0.000
0.000 3.294 0.000
-2.442 0.000 7.912
ATOMIC_POSITIONS crystal
Tl 0.000 0.000 0.000
Tl 0.006 0.000 0.597
Tl 0.217 0.500 0.896
Tl 0.338 0.000 0.248
Tl 0.500 0.500 0.000
Tl 0.506 0.500 0.597
Tl 0.717 0.000 0.896
Tl 0.838 0.500 0.248
Cd 0.122 0.500 0.338
Cd 0.286 0.000 0.615
Cd 0.622 0.000 0.338
Cd 0.786 0.500 0.615
```

Computed properties:
Energy relative to the elements = 0.05 eV/atom